# 1
6
Lattice="-4.281 -0.607 1.400 -1.358 -0.349 -4.303 1.744 -6.807 2.382" Properties=species:S:1:pos:R:3 comment="PBE-GGA Sc5Bi, relaxed" final_energy_ev_per_fu=-36.87 e_form_ev_per_atom=-0.2223 sg=Cmmm pbc="T T T"
Sc -2.126 -5.027 -1.301
Bi 0.000 0.000 0.000
Sc 0.713 -4.674 0.154
Sc -2.820 -0.478 -1.451
Sc -1.770 -2.737 0.781
Sc -0.327 -2.482 -2.076


# 2
4
Lattice="-2.746 -1.673 -0.994 0.036 -2.915 4.804 -1.655 5.914 0.314" Properties=species:S:1:pos:R:3 comment="PBE-GGA Sc3Bi, relaxed" final_energy_ev_per_fu=-23.88 e_form_ev_per_atom=-0.2523 sg=Imm2 pbc="T T T"
Bi 0.000 -0.025 0.042
Sc -1.544 0.901 2.747
Sc -2.833 1.399 -0.227
Sc -1.355 -2.270 1.866


# 3
14
Lattice="7.286 0.000 -2.576 -3.643 6.310 -2.576 0.000 0.000 7.728" Properties=species:S:1:pos:R:3 comment="PBE-GGA Sc4Bi3, relaxed" final_energy_ev_per_fu=-41.21 e_form_ev_per_atom=-0.6061 sg=I-43d pbc="T T T"
Bi 2.277 0.789 4.508
Sc 4.341 3.155 -3.467
Bi 3.188 3.944 -0.644
Sc 2.383 2.182 1.685
Sc 4.205 0.973 -0.891
Bi -1.366 5.521 -1.932
Sc -1.260 4.128 2.973
Bi 5.464 1.577 1.932
Bi 1.821 4.732 3.220
Sc 0.000 0.000 6.536
Sc 0.698 3.155 -2.179
Sc 0.000 0.000 2.672
Bi -0.455 2.366 0.644
Sc 0.562 5.337 0.397


# 4
9
Lattice="-3.026 -1.048 -2.759 3.956 -4.067 -6.032 -2.672 -7.425 2.513" Properties=species:S:1:pos:R:3 comment="PBE-GGA Sc5Bi4, relaxed" final_energy_ev_per_fu=-52.16 e_form_ev_per_atom=-0.5529 sg=I4/m pbc="T T T"
Bi -1.239 -5.804 0.325
Bi -0.316 -8.990 -2.715
Bi -1.426 -3.549 -3.564
Sc -2.391 -8.446 -0.645
Bi -0.503 -6.735 -6.604
Sc 0.650 -4.093 -5.633
Sc -0.344 -9.572 -5.700
Sc -1.397 -2.968 -0.578
Sc 0.000 0.000 0.000


# 5
20
Lattice="-0.159 -1.262 4.014 7.660 -7.582 -2.081 8.144 7.493 2.678" Properties=species:S:1:pos:R:3 comment="PBE-GGA Sc3Bi2, relaxed" final_energy_ev_per_fu=-29.56 e_form_ev_per_atom=-0.5603 sg=Pnma pbc="T T T"
Bi 9.197 0.525 3.841
Bi 5.180 -5.939 1.650
Sc 3.458 -0.252 1.162
Bi 6.449 -1.876 0.769
Bi 14.125 -1.697 1.129
Sc 8.594 5.133 5.266
Sc 10.036 -4.661 0.035
Sc 7.051 -6.484 -0.656
Sc 8.057 2.973 2.357
Bi 1.521 0.346 3.482
Bi 5.237 1.986 1.936
Bi 10.409 -3.337 2.675
Sc 12.188 -1.099 3.449
Sc 9.322 -0.954 1.172
Sc 6.324 -0.397 3.438
Bi 10.465 4.588 2.960
Sc 4.305 -3.176 2.484
Sc 11.340 1.825 2.126
Sc 7.589 -4.324 2.253
Sc 5.610 3.310 4.575


# 6
5
Lattice="5.447 0.000 0.000 0.000 5.447 0.000 0.000 0.000 5.447" Properties=species:S:1:pos:R:3 comment="PBE-GGA Sc4Bi, relaxed" e_above_lowest_polymorph_mev_per_atom=629 final_energy_ev_per_fu=-26.96 e_form_ev_per_atom=0.4499 sg=Pm-3m pbc="T T T"
Sc 0.000 0.000 0.000
Sc 0.000 2.723 2.723
Bi 2.723 2.723 2.723
Sc 2.723 0.000 2.723
Sc 2.723 2.723 0.000


# 7
4
Lattice="4.577 0.000 0.000 0.000 4.577 0.000 0.000 0.000 4.577" Properties=species:S:1:pos:R:3 comment="PBE-GGA Sc3Bi, relaxed" final_energy_ev_per_fu=-24.13 e_form_ev_per_atom=-0.3129 sg=Pm-3m pbc="T T T"
Sc 2.289 0.000 2.289
Sc 0.000 2.289 2.289
Bi 0.000 0.000 0.000
Sc 2.289 2.289 0.000


# 8
8
Lattice="-1.830 -0.909 -4.457 5.544 -2.712 -1.723 -3.352 -4.888 2.373" Properties=species:S:1:pos:R:3 comment="PBE-GGA Sc3Bi, relaxed" final_energy_ev_per_fu=-24.23 e_form_ev_per_atom=-0.3392 sg=P2_1/m pbc="T T T"
Sc 3.272 -3.852 -4.603
Sc -0.085 -6.116 -0.066
Sc -0.372 -2.568 -0.672
Bi -1.959 -4.506 -2.322
Sc -2.909 -4.657 0.796
Sc 0.447 -2.393 -3.741
Sc 0.735 -5.941 -3.135
Bi 2.321 -4.003 -1.485


# 9
4
Lattice="-0.243 1.797 2.986 3.619 -2.839 2.003 3.860 3.611 -1.859" Properties=species:S:1:pos:R:3 comment="PBE-GGA Sc3Bi, relaxed" final_energy_ev_per_fu=-23.78 e_form_ev_per_atom=-0.2258 sg=Pmm2 pbc="T T T"
Sc 4.971 2.550 0.913
Sc 1.737 2.637 0.598
Bi 3.129 -0.186 0.366
Sc 3.833 3.586 -1.846


# 10
10
Lattice="-2.965 -0.380 2.682 -1.907 -5.794 -2.930 7.213 -3.308 7.505" Properties=species:S:1:pos:R:3 comment="PBE-GGA ScBiSe3, relaxed" e_above_lowest_polymorph_mev_per_atom=0 final_energy_ev_per_fu=-25.81 e_form_raw_kj_per_mol_fu=-497 sg=P2_1/m pbc="T T T"
Sc 4.976 -7.616 5.924
Se 5.415 -3.210 7.035
Se 2.465 -3.374 3.751
Se -0.125 -6.108 3.507
Se -3.075 -6.271 0.222
Bi 2.260 -3.225 6.553
Se -0.580 -3.335 0.389
Sc -2.635 -1.866 1.333
Bi 0.080 -6.257 0.705
Se 2.921 -6.147 6.868


# 11
20
Lattice="4.062 0.000 0.000 0.000 12.135 0.295 0.000 -3.763 11.482" Properties=species:S:1:pos:R:3 comment="PBE-GGA ScBi3Se6, relaxed" final_energy_ev_per_fu=-45.31 e_form_raw_kj_per_mol_fu=-620 sg=P2_1/m pbc="T T T"
Se 1.016 5.046 4.553
Se 1.016 8.988 6.450
Se 1.016 -0.034 8.295
Se 1.016 3.721 10.612
Se 3.047 3.326 7.224
Se 3.047 7.137 8.771
Se 1.016 1.234 3.006
Se 3.047 -0.617 5.327
Sc 1.016 10.511 3.945
Se 3.047 10.819 1.651
Se 1.016 -2.448 10.126
Bi 1.016 6.387 2.043
Bi 3.047 6.708 5.703
Bi 3.047 1.984 9.734
Bi 1.016 6.922 10.677
Se 3.047 4.651 1.164
Se 3.047 8.405 3.481
Bi 3.047 1.450 1.099
Sc 3.047 -2.140 7.832
Bi 1.016 1.664 6.074


# 12
15
Lattice="3.825 0.000 0.000 0.000 8.710 -5.028 0.000 0.000 10.057" Properties=species:S:1:pos:R:3 comment="PBE-GGA Sc8BiSe6, relaxed" final_energy_ev_per_fu=-93.36 e_form_raw_kj_per_mol_fu=-1729 sg=P-3 pbc="T T T"
Se 2.882 4.151 1.067
Se 2.882 5.710 -1.967
Sc 2.844 8.400 -1.937
Sc 0.981 2.522 1.814
Sc 0.981 0.310 6.965
Sc 2.844 2.832 -1.278
Se 0.943 4.558 3.961
Sc 2.850 2.903 5.028
Sc 0.981 5.877 6.306
Bi 1.912 0.000 0.000
Se 0.943 1.151 4.129
Sc 2.844 6.187 3.215
Se 2.882 7.558 0.900
Se 0.943 3.000 6.996
Sc 0.975 5.806 0.000


# 13
5
Lattice="5.465 0.000 0.000 0.000 5.465 0.000 0.000 0.000 5.465" Properties=species:S:1:pos:R:3 comment="PBE-GGA Sc3BiSe, relaxed" e_above_lowest_polymorph_mev_per_atom=1127 final_energy_ev_per_fu=-24.84 e_form_raw_kj_per_mol_fu=146 sg=Pm-3m pbc="T T T"
Sc 0.000 0.000 2.732
Sc 2.732 0.000 0.000
Se 2.732 2.732 2.732
Bi 0.000 0.000 0.000
Sc 0.000 2.732 0.000


# 14
5
Lattice="-3.594 2.451 -2.741 -2.742 0.768 4.282 2.451 4.455 0.770" Properties=species:S:1:pos:R:3 comment="PBE-GGA ScBiSe3, relaxed" e_above_lowest_polymorph_mev_per_atom=543 final_energy_ev_per_fu=-23.10 e_form_raw_kj_per_mol_fu=-235 sg=Pm-3m pbc="T T T"
Se -1.797 1.226 -1.371
Se 1.225 2.227 0.385
Se -1.371 0.384 2.141
Sc 0.000 0.000 0.000
Bi -1.943 3.837 1.156


# 15
10
Lattice="6.871 0.000 0.000 0.000 6.870 0.000 0.000 -3.435 5.950" Properties=species:S:1:pos:R:3 comment="PBE-GGA ScBiSe3, relaxed" e_above_lowest_polymorph_mev_per_atom=98 final_energy_ev_per_fu=-25.32 e_form_raw_kj_per_mol_fu=-449 sg=P-6c2 pbc="T T T"
Se 5.153 1.278 5.868
Sc 3.435 0.000 0.000
Bi 0.000 3.435 1.983
Se 5.153 -2.286 4.123
Se 1.718 -1.008 1.909
Se 1.718 -1.278 5.868
Sc 0.000 0.000 0.000
Bi 3.435 3.435 1.983
Se 1.718 2.286 4.123
Se 5.153 1.008 1.909


# 16
10
Lattice="3.916 0.000 1.020 1.180 7.465 3.496 -0.079 -0.102 8.326" Properties=species:S:1:pos:R:3 comment="PBE-GGA Sc3BiSe, relaxed" e_above_lowest_polymorph_mev_per_atom=82 final_energy_ev_per_fu=-30.07 e_form_raw_kj_per_mol_fu=-358 sg=C2/m pbc="T T T"
Sc 3.335 2.639 3.250
Sc 2.374 0.156 6.937
Bi 0.869 1.669 4.691
Sc 1.682 4.724 9.592
Bi 4.149 5.694 8.151
Se 1.760 1.922 9.293
Se 3.257 5.441 3.549
Sc 0.910 4.652 4.530
Sc 2.643 7.207 5.906
Sc 4.107 2.711 8.312


# 17
5
Lattice="-4.791 0.863 -2.317 -0.779 -5.321 -0.372 -2.346 0.004 4.854" Properties=species:S:1:pos:R:3 comment="PBE-GGA ScBiSe3, relaxed" e_above_lowest_polymorph_mev_per_atom=1168 final_energy_ev_per_fu=-19.97 e_form_raw_kj_per_mol_fu=67 sg=Pm-3m pbc="T T T"
Se -2.395 0.432 -1.158
Sc -3.958 -2.227 1.083
Se -1.173 0.002 2.427
Se -0.389 -2.661 -0.186
Bi 0.000 0.000 0.000


# 18
22
Lattice="-3.337 1.740 -1.024 -0.067 -0.629 6.576 8.597 17.522 1.763" Properties=species:S:1:pos:R:3 comment="PBE-GGA Sc6BiSe4, relaxed" final_energy_ev_per_fu=-70.05 e_form_raw_kj_per_mol_fu=-1374 sg=Cmcm pbc="T T T"
Se -0.164 0.738 1.788
Se 3.381 11.829 1.657
Sc 1.236 2.864 0.840
Se 5.358 17.894 5.527
Sc 4.318 10.550 3.859
Bi 5.308 13.300 5.306
Sc 2.448 12.692 6.165
Se 3.478 8.159 2.535
Se 5.565 16.279 2.105
Bi -0.114 5.333 2.008
Se -0.371 2.354 5.210
Sc 2.746 5.940 1.150
Sc -1.668 0.870 -0.512
Se 1.716 10.473 4.780
Se 1.813 6.804 5.657
Sc 4.262 14.083 2.620
Sc 0.876 8.083 3.456
Sc -1.777 2.677 2.912
Sc 0.932 4.550 4.695
Sc 2.630 9.631 0.370
Sc 3.958 15.768 6.475
Sc 6.971 15.956 4.403


# 19
10
Lattice="0.122 -0.302 -4.186 -1.918 -3.729 0.213 -12.261 8.735 1.119" Properties=species:S:1:pos:R:3 comment="PBE-GGA Sc5Bi4Se, relaxed" final_energy_ev_per_fu=-58.93 e_form_raw_kj_per_mol_fu=-798 sg=I4/mmm pbc="T T T"
Sc -2.403 1.227 -0.158
Bi -10.532 5.378 -0.694
Sc -6.221 0.703 -2.337
Bi -8.899 2.070 -2.514
Bi -3.526 -0.674 -2.160
Sc -0.898 -2.015 -1.986
Bi -5.159 2.634 -0.340
Se 0.000 0.000 0.000
Sc -7.836 4.002 -0.517
Sc -11.655 3.477 -2.696


# 20
12
Lattice="-3.992 1.355 -7.565 -1.173 -5.392 -5.304 -6.778 -2.995 -1.917" Properties=species:S:1:pos:R:3 comment="PBE-GGA Sc3BiSe2, relaxed" final_energy_ev_per_fu=-36.05 e_form_raw_kj_per_mol_fu=-598 sg=Imma pbc="T T T"
Sc -5.186 -3.676 -2.879
Sc -7.563 -2.835 -6.431
Se -8.550 -7.588 -8.778
Bi -2.731 -1.844 -3.214
Sc -5.385 -0.820 -4.741
Sc -4.379 -4.197 -8.355
Sc -2.582 -2.019 -6.434
Bi -9.211 -5.188 -11.571
Sc -2.765 -4.711 -4.342
Se -4.946 -3.269 -5.872
Se -3.392 0.556 -6.007
Se -6.996 -3.764 -8.913